First-principles (meta-GGA SCAN) data for a PBEsol-optimized structure of CaY4Ag, as listed in Alexandria via LeMat-Bulk.

Output
- Space group: F-43m, No. 216

Cell: 6.388 6.388 6.388 Å, 60.00 60.00 60.00°
Positions (direct):
Ca  0.000  0.000  0.000
Y  0.376  0.376  0.376
Y  0.376  0.376  0.873
Y  0.376  0.873  0.376
Y  0.873  0.376  0.376
Ag  0.750  0.750  0.750

=====

First-principles (meta-GGA SCAN) data for a PBEsol-optimized structure of CaYAg4, as listed in Alexandria via LeMat-Bulk.

Output
- Space group: F-43m, No. 216

Cell: 5.603 5.603 5.603 Å, 60.00 60.00 60.00°
Positions (direct):
Ca  0.000  0.000  0.000
Y  0.250  0.250  0.250
Ag  0.124  0.625  0.625
Ag  0.625  0.124  0.625
Ag  0.625  0.625  0.124
Ag  0.625  0.625  0.625

=====

First-principles (meta-GGA SCAN) data for a PBEsol-optimized structure of CaY2Ag, as listed in Alexandria via LeMat-Bulk.

Output
- Distance to the lowest polymorph of the same formula: 158 meV/atom
- Space group: P4/mmm, No. 123

Cell: 5.109 5.109 4.106 Å, 90.00 90.00 90.00°
Positions (direct):
Ca  0.000  0.000  0.000
Y  0.000  0.500  0.500
Y  0.500  0.000  0.500
Ag  0.500  0.500  0.000

=====

First-principles (meta-GGA SCAN) data for a PBEsol-optimized structure of CaYAg2, as listed in Alexandria via LeMat-Bulk.

Output
- Distance to the lowest polymorph of the same formula: 17 meV/atom
- Space group: Fm-3m, No. 225

Cell: 5.075 5.075 5.075 Å, 60.00 60.00 60.00°
Positions (direct):
Ca  0.000  0.000  0.000
Y  0.500  0.500  0.500
Ag  0.250  0.250  0.250
Ag  0.750  0.750  0.750

=====

First-principles (meta-GGA SCAN) data for a PBEsol-optimized structure of CaY2Ag, as listed in Alexandria via LeMat-Bulk.

Output
- Distance to the lowest polymorph of the same formula: 0 meV/atom
- Space group: P4mm, No. 99

Cell: 3.627 3.627 8.562 Å, 90.00 90.00 90.00°
Positions (direct):
Ca  0.000  0.000  0.000
Y  0.000  0.000  0.589
Y  0.500  0.500  0.318
Ag  0.500  0.500  0.783

=====

First-principles (meta-GGA SCAN) data for a PBEsol-optimized structure of CaY2Ag, as listed in Alexandria via LeMat-Bulk.

Output
- Distance to the lowest polymorph of the same formula: 31 meV/atom
- Space group: Immm, No. 71

Cell: 6.616 6.616 6.616 Å, 148.39 131.32 59.21°
Positions (direct):
Ca  0.000  0.000  0.000
Y  0.291  0.791  0.500
Y  0.709  0.209  0.500
Ag  0.500  0.500  0.000

=====

Number 1: volume 30.7 A^3/atom, formation energy 0.404 eV per atom. Number 2: volume 20.7 A^3/atom, formation energy -0.237 eV per atom. Number 3: volume 26.8 A^3/atom, formation energy 0.019 eV per atom. Number 4: volume 23.1 A^3/atom, formation energy -0.352 eV per atom. Number 5: volume 28.2 A^3/atom, formation energy -0.139 eV per atom. Number 6: volume 28.3 A^3/atom, formation energy -0.108 eV per atom.